Computed, not measured: a crystal of FeP2Cl relaxed with PBEsol at the SCAN level of DFT.

a = 3.0439 Å, b = 3.0439 Å, c = 6.6721 Å
α = 90.00°, β = 90.00°, γ = 90.00°
With the nearest neighbours (Å) after each atom.
Space group P4mm (No. 99)
Symmetry-distinct sites (fractional):
Fe 0.0000 0.0000 0.0000 [1 per cell]  5 P 2.35-2.52
P 0.0000 0.0000 0.3529 [1 per cell]  1 Fe 2.35, 4 P 2.39
P 0.5000 0.5000 0.1967 [1 per cell]  4 P 2.39, 4 Fe 2.52
Cl 0.5000 0.5000 0.7642 [1 per cell]  4 Fe 2.67, 1 P 2.89

Values from the calculation:
The spin magnetization comes out at 3.2 μB per formula unit. As for the crystal system: tetragonal. The density of states at the Fermi level is 0.440 states/eV per atom. For the raw formation energy, the calculation gives 0.07 eV per atom.